Record 1
Density functional theory data (PBE) for crystalline CsTlCd2Sb2 at its relaxed geometry.

POSCAR file:
```
CsTlCd2Sb2
1.0
4.923 0.000 0.000
-2.462 4.264 0.000
0.000 0.000 10.421
Cs Tl Cd Sb
1 1 2 2
direct
0.000 0.000 0.000
0.000 0.000 0.500
0.333 0.667 0.693
0.667 0.333 0.307
0.333 0.667 0.275
0.667 0.333 0.725
```

Uncorrected formation energy ... -21.9 kJ/mol of atoms
Density ... 6.116 g cm⁻³

***

Record 2
Density functional theory data (PBE) for crystalline AcNd4Ho at its relaxed geometry.

POSCAR file:
```
AcNd4Ho
1.0
5.957 -3.591 0.000
5.957 3.591 0.000
0.000 0.000 11.838
Ac Nd Ho
2 8 2
direct
0.000 0.000 0.250
0.000 0.000 0.750
0.001 0.499 0.250
0.260 0.740 0.000
0.260 0.740 0.500
0.499 0.001 0.750
0.501 0.999 0.250
0.740 0.260 0.000
0.740 0.260 0.500
0.999 0.501 0.750
0.500 0.500 0.250
0.500 0.500 0.750
```

Energy relative to the lowest polymorph listed for this composition ... 343 meV/atom
Energy of formation from the pure elements ... 0.513 eV/atom
Density ... 6.354 g cm⁻³

***

Record 3
Density functional theory data (PBE) for crystalline RbMnBePd2 at its relaxed geometry.

POSCAR file:
```
RbMnBePd2
1.0
5.083 0.000 0.000
0.000 5.083 0.000
0.000 0.000 5.396
Rb Mn Be Pd
1 1 1 2
direct
0.000 0.000 0.000
0.000 0.000 0.500
0.500 0.500 0.500
0.000 0.500 0.000
0.500 0.000 0.000
```

Energy of formation from the pure elements ... 2.114 eV/atom
Density ... 4.315 g cm⁻³

***

Record 4
Density functional theory data (PBE) for crystalline Rb3AcNb2O9 at its relaxed geometry.

POSCAR file:
```
Rb3AcNb2O9
1.0
6.172 0.000 0.000
-3.086 5.345 0.000
0.000 0.000 7.726
Rb Ac Nb O
3 1 2 9
direct
0.000 0.000 0.000
0.333 0.667 0.686
0.667 0.333 0.314
0.000 0.000 0.500
0.333 0.667 0.170
0.667 0.333 0.830
0.000 0.500 0.000
0.181 0.362 0.300
0.181 0.819 0.300
0.362 0.181 0.700
0.500 0.000 0.000
0.500 0.500 0.000
0.638 0.819 0.300
0.819 0.181 0.700
0.819 0.638 0.700
```

Uncorrected formation energy ... -214.1 kJ/mol of atoms
Density ... 5.298 g cm⁻³

***

Record 5
Density functional theory data (PBE) for crystalline Cd2BiPb6 at its relaxed geometry.

POSCAR file:
```
Cd2BiPb6
1.0
7.265 -5.956 0.000
7.265 5.956 0.000
-2.770 0.000 6.465
Cd Bi Pb
4 2 12
direct
0.141 0.192 0.352
0.192 0.141 0.852
0.808 0.859 0.148
0.859 0.808 0.648
0.379 0.621 0.750
0.621 0.379 0.250
0.093 0.458 0.737
0.143 0.841 0.476
0.159 0.857 0.024
0.263 0.462 0.239
0.458 0.093 0.237
0.462 0.263 0.739
0.538 0.737 0.261
0.542 0.907 0.763
0.737 0.538 0.761
0.841 0.143 0.976
0.857 0.159 0.524
0.907 0.542 0.263
```

Energy relative to the lowest polymorph listed for this composition ... 32 meV/atom
Energy of formation from the pure elements ... 0.075 eV/atom
Density ... 9.953 g cm⁻³

***

Record 6
Density functional theory data (PBE) for crystalline K2YCu at its relaxed geometry.

POSCAR file:
```
K2YCu
1.0
6.446 0.000 0.000
0.000 12.321 0.000
0.000 0.000 3.729
K Y Cu
4 2 2
direct
0.250 0.250 0.000
0.250 0.750 0.000
0.750 0.250 0.000
0.750 0.750 0.000
0.000 0.000 0.500
0.500 0.500 0.500
0.000 0.500 0.500
0.500 0.000 0.500
```

Energy relative to the lowest polymorph listed for this composition ... 508 meV/atom
Energy of formation from the pure elements ... 0.691 eV/atom
Density ... 2.587 g cm⁻³

***

Record 7
Density functional theory data (PBE) for crystalline Cs2TaAgF6 at its relaxed geometry.

POSCAR file:
```
Cs2TaAgF6
1.0
0.000 5.259 5.259
5.259 0.000 5.259
5.259 5.259 0.000
Cs Ta Ag F
2 1 1 6
direct
0.250 0.250 0.250
0.750 0.750 0.750
0.000 0.000 0.000
0.500 0.500 0.500
0.183 0.183 0.817
0.183 0.817 0.183
0.183 0.817 0.817
0.817 0.183 0.183
0.817 0.183 0.817
0.817 0.817 0.183
```

Uncorrected formation energy ... -241.3 kJ/mol of atoms
Density ... 3.817 g cm⁻³

***

Record 8
Density functional theory data (PBE) for crystalline YBeTe at its relaxed geometry.

POSCAR file:
```
YBeTe
1.0
6.546 0.000 0.000
0.000 6.546 0.000
0.000 0.000 6.546
Y Be Te
4 4 4
direct
0.000 0.000 0.000
0.000 0.500 0.500
0.500 0.000 0.500
0.500 0.500 0.000
0.250 0.250 0.750
0.250 0.750 0.250
0.750 0.250 0.250
0.750 0.750 0.750
0.000 0.000 0.500
0.000 0.500 0.000
0.500 0.000 0.000
0.500 0.500 0.500
```

Uncorrected formation energy ... 0.0 kJ/mol of atoms
Energy relative to the lowest polymorph listed for this composition ... 284 meV/atom
Density ... 5.340 g cm⁻³

***

Record 9
Density functional theory data (PBE) for crystalline Ag2GeAu at its relaxed geometry.

POSCAR file:
```
Ag2GeAu
1.0
6.627 0.000 0.000
0.000 6.627 0.000
0.000 0.000 6.627
Ag Ge Au
8 4 4
direct
0.000 0.000 0.000
0.000 0.500 0.500
0.250 0.250 0.250
0.250 0.750 0.750
0.500 0.000 0.500
0.500 0.500 0.000
0.750 0.250 0.750
0.750 0.750 0.250
0.250 0.250 0.750
0.250 0.750 0.250
0.750 0.250 0.250
0.750 0.750 0.750
0.000 0.000 0.500
0.000 0.500 0.000
0.500 0.000 0.000
0.500 0.500 0.500
```

Energy of formation from the pure elements ... 0.056 eV/atom
Density ... 11.078 g cm⁻³

***

Record 10
Density functional theory data (PBE) for crystalline Re2Se at its relaxed geometry.

POSCAR file:
```
Re2Se
1.0
2.968 0.000 0.000
0.000 4.041 0.000
0.000 0.000 7.754
Re Se
4 2
direct
0.000 0.000 0.174
0.000 0.000 0.826
0.500 0.500 0.326
0.500 0.500 0.674
0.000 0.000 0.500
0.500 0.500 0.000
```

Uncorrected formation energy ... 62.8 kJ/mol of atoms
Energy relative to the lowest polymorph listed for this composition ... 580 meV/atom
Density ... 16.119 g cm⁻³

***

Record 11
Density functional theory data (PBE) for crystalline NaIrC3 at its relaxed geometry.

POSCAR file:
```
NaIrC3
1.0
3.960 0.000 0.000
0.000 3.960 0.000
0.000 0.000 3.960
Na Ir C
1 1 3
direct
0.000 0.000 0.000
0.500 0.500 0.500
0.000 0.000 0.500
0.000 0.500 0.000
0.500 0.000 0.000
```

Energy relative to the lowest polymorph listed for this composition ... 2202 meV/atom
Energy of formation from the pure elements ... 4.037 eV/atom
Density ... 6.720 g cm⁻³

***

Record 12
Density functional theory data (PBE) for crystalline Mo2Pd2Pt at its relaxed geometry.

POSCAR file:
```
Mo2Pd2Pt
1.0
2.743 0.000 0.000
1.338 4.653 0.000
1.352 1.323 6.082
Mo Pd Pt
2 2 1
direct
0.094 0.192 0.112
0.906 0.808 0.888
0.308 0.600 0.286
0.692 0.400 0.714
0.500 0.000 0.500
```

Energy of formation from the pure elements ... -0.069 eV/atom
Density ... 12.833 g cm⁻³